The following is a DFT calculation (PBE) of Ba6IrPt2Cl3 after structural relaxation.

Computed properties:
The calculation puts the energy relative to the elements, uncorrected at -1.249 eV/atom. Its crystal system is monoclinic. Its total energy is -53.00 eV for the cell shown. The calculated volume is 35.40 A^3/atom. As for the symmetry: C2/m, No. 12.

Cell: 7.8486 7.8486 8.3830 Å, 98.98 98.98 120.00°
Fractional coordinates of all 12 atoms:
Ba: 0.0736 0.3974 0.2209
Ba: 0.2505 0.2505 0.7799
Ba: 0.3974 0.0736 0.2209
Ba: 0.6026 0.9264 0.7791
Ba: 0.7495 0.7495 0.2201
Ba: 0.9264 0.6026 0.7791
Ir: 0.0000 0.0000 0.0000
Pt: 0.3331 0.6669 0.0000
Pt: 0.6669 0.3331 0.0000
Cl: 0.1651 0.8349 0.5000
Cl: 0.5000 0.5000 0.5000
Cl: 0.8349 0.1651 0.5000

The following is a DFT calculation (PBE) of Rb2BaIrCl8 after structural relaxation.

Computed properties:
The calculation puts the energy relative to the elements, uncorrected at -1.423 eV/atom. Its crystal system is monoclinic. Its total energy is -44.56 eV for the cell shown. The calculated volume is 33.21 A^3/atom. As for the symmetry: P2/m, No. 10.

Cell: 5.7514 9.1753 7.8258 Å, 90.00 105.20 90.00°
Fractional coordinates of all 12 atoms:
Rb: 0.0000 0.2378 0.0000
Rb: 0.0000 0.7622 0.0000
Ba: 0.5000 0.5000 0.5000
Ir: 0.5000 0.0000 0.5000
Cl: 0.0233 0.5000 0.7387
Cl: 0.1062 0.0000 0.3330
Cl: 0.4228 0.1873 0.6874
Cl: 0.4228 0.8127 0.6874
Cl: 0.5772 0.1873 0.3126
Cl: 0.5772 0.8127 0.3126
Cl: 0.8938 0.0000 0.6670
Cl: 0.9767 0.5000 0.2613

The following is a DFT calculation (PBE) of Rb2BaIrCl6 after structural relaxation.

Computed properties:
The calculation puts the energy relative to the elements, uncorrected at -1.442 eV/atom. Its crystal system is tetragonal. Its total energy is -38.22 eV for the cell shown. The calculated volume is 33.01 A^3/atom. As for the symmetry: I4/mmm, No. 139.

Cell: 7.8791 7.8791 7.8791 Å, 122.78 122.78 85.26°
Fractional coordinates of all 10 atoms:
Rb: 0.2500 0.7500 0.5000
Rb: 0.7500 0.2500 0.5000
Ba: 0.0000 0.0000 0.0000
Ir: 0.5000 0.5000 0.0000
Cl: 0.2582 0.2582 0.0000
Cl: 0.2789 0.2789 0.5579
Cl: 0.2789 0.7211 0.0000
Cl: 0.7211 0.2789 0.0000
Cl: 0.7211 0.7211 0.4421
Cl: 0.7418 0.7418 0.0000

The following is a DFT calculation (PBE) of BaIrSeCl2 after structural relaxation.

Computed properties:
The calculation puts the energy relative to the elements, uncorrected at 0.401 eV/atom. Its crystal system is tetragonal. Its total energy is -15.96 eV for the cell shown. The calculated volume is 45.72 A^3/atom. As for the symmetry: P4/mmm, No. 123.

Cell: 5.8234 5.8234 6.7407 Å, 90.00 90.00 90.00°
Fractional coordinates of all 5 atoms:
Ba: 0.0000 0.0000 0.0000
Ir: 0.5000 0.5000 0.5000
Se: 0.0000 0.0000 0.5000
Cl: 0.0000 0.5000 0.0000
Cl: 0.5000 0.0000 0.0000

The following is a DFT calculation (PBE) of BaTeIrCl2 after structural relaxation.

Computed properties:
The calculation puts the energy relative to the elements, uncorrected at 0.304 eV/atom. Its crystal system is tetragonal. Its total energy is -16.10 eV for the cell shown. The calculated volume is 39.02 A^3/atom. As for the symmetry: P4/mmm, No. 123.

Cell: 5.1958 5.1958 7.2272 Å, 90.00 90.00 90.00°
Fractional coordinates of all 5 atoms:
Ba: 0.0000 0.0000 0.0000
Te: 0.0000 0.0000 0.5000
Ir: 0.5000 0.5000 0.0000
Cl: 0.0000 0.5000 0.5000
Cl: 0.5000 0.0000 0.5000

The following is a DFT calculation (PBE) of BaIrW2Cl after structural relaxation.

Computed properties:
The calculation puts the energy relative to the elements, uncorrected at 3.537 eV/atom. Its crystal system is tetragonal. Its total energy is -20.85 eV for the cell shown. The calculated volume is 27.23 A^3/atom. As for the symmetry: P4/mmm, No. 123.

Cell: 5.1094 5.1094 5.2156 Å, 90.00 90.00 90.00°
Fractional coordinates of all 5 atoms:
Ba: 0.0000 0.0000 0.0000
Ir: 0.5000 0.5000 0.5000
W: 0.0000 0.5000 0.0000
W: 0.5000 0.0000 0.0000
Cl: 0.0000 0.0000 0.5000